A geometry-optimized Th2SnMo structure. Source: Alexandria, functional PBE.

Results
Space-group type: R-3m
VASP energy: -7.025 eV per atom
Spin magnetization: 0.0 μB/cell

Unit cell a=11.211 b=11.211 c=11.211 alpha=17.83 beta=17.83 gamma=17.83
Fractional positions:
Th: 0.100 0.100 0.100
Th: 0.900 0.900 0.900
Sn: 0.000 0.000 0.000
Mo: 0.500 0.500 0.500

A geometry-optimized CoSb2PdS structure. Source: Alexandria, functional PBE.

Results
ΔE_f (raw): 0.513 eV/atom
Space-group type: P4/mmm
VASP energy: -4.421 eV per atom
Spin magnetization: 0.0 μB/cell

Unit cell a=4.683 b=4.683 c=4.986 alpha=90.00 beta=90.00 gamma=90.00
Fractional positions:
Co: 0.000 0.000 0.000
Sb: 0.000 0.500 0.000
Sb: 0.500 0.000 0.000
Pd: 0.000 0.000 0.500
S: 0.500 0.500 0.500

A geometry-optimized TcNi7Sb2Pt2 structure. Source: Alexandria, functional PBE.

Results
ΔE_f (raw): -0.033 eV/atom
Space-group type: C2/m
VASP energy: -5.964 eV per atom
Spin magnetization: 0.0 μB/cell

Unit cell a=3.539 b=3.539 c=13.976 alpha=97.21 beta=97.21 gamma=90.00
Fractional positions:
Tc: 0.000 0.000 0.000
Ni: 0.064 0.564 0.130
Ni: 0.270 0.270 0.538
Ni: 0.436 0.936 0.870
Ni: 0.500 0.500 0.000
Ni: 0.564 0.064 0.130
Ni: 0.730 0.730 0.462
Ni: 0.936 0.436 0.870
Sb: 0.178 0.178 0.360
Sb: 0.822 0.822 0.640
Pt: 0.367 0.367 0.731
Pt: 0.633 0.633 0.269

Repeat the third record exactly.
A geometry-optimized TcNi7Sb2Pt2 structure. Source: Alexandria, functional PBE.

Results
ΔE_f (raw): -0.033 eV/atom
Space-group type: C2/m
VASP energy: -5.964 eV per atom
Spin magnetization: 0.0 μB/cell

Unit cell a=3.539 b=3.539 c=13.976 alpha=97.21 beta=97.21 gamma=90.00
Fractional positions:
Tc: 0.000 0.000 0.000
Ni: 0.064 0.564 0.130
Ni: 0.270 0.270 0.538
Ni: 0.436 0.936 0.870
Ni: 0.500 0.500 0.000
Ni: 0.564 0.064 0.130
Ni: 0.730 0.730 0.462
Ni: 0.936 0.436 0.870
Sb: 0.178 0.178 0.360
Sb: 0.822 0.822 0.640
Pt: 0.367 0.367 0.731
Pt: 0.633 0.633 0.269